{"formula": "La2ScTa", "functional": "PBE-GGA", "state": "optimized geometry", "ef_ev_per_fu": 1.75, "sg": "No. 12", "relative_energy_mev_per_atom": 171, "lattice": [[5.438, -1.643, 0.000], [5.438, 1.643, 0.000], [-0.980, 0.000, 5.956]], "species": ["La", "La", "Sc", "Ta"], "frac_coords": [[0.238, 0.238, 0.246], [0.762, 0.762, 0.754], [0.000, 0.000, 0.500], [0.500, 0.500, 0.000]]}